Record 1
First-principles (GGA-PBE) data for an optimized crystal structure of RbVCo3, as listed in Alexandria.

Calculated values
- Energy above the lowest structure with this stoichiometry: 1447 meV/atom
- Calculated total energy: -3.575 eV per atom
- Magnetic moment: 5.51 μB per formula unit
- Energy relative to the elements: 2705 meV per atom
- Theoretical density: 5.8 Mg/m³

Cell lengths 4.482, 4.482, 4.482 Å; angles 90.00, 90.00, 90.00 degrees
Space group Pm-3m (No. 221)
Asymmetric unit:
Rb1 0.000 0.000 0.000 (multiplicity 1)
V1 0.500 0.500 0.500 (multiplicity 1)
Co1 0.000 0.000 0.500 (multiplicity 3)



Record 2
First-principles (GGA-PBE) data for an optimized crystal structure of Rb2VCo, as listed in Alexandria.

Calculated values
- Energy above the lowest structure with this stoichiometry: 641 meV/atom
- Calculated total energy: -2.833 eV per atom
- Magnetic moment: 6.38 μB per formula unit
- Energy relative to the elements: 1706 meV per atom
- Theoretical density: 3.0 Mg/m³

Cell lengths 8.528, 8.528, 8.528 Å; angles 90.00, 90.00, 90.00 degrees
Space group Fm-3m (No. 225)
Asymmetric unit:
Rb1 0.250 0.250 0.250 (multiplicity 8)
V1 0.000 0.000 0.000 (multiplicity 4)
Co1 0.000 0.000 0.500 (multiplicity 4)



Record 3
First-principles (GGA-PBE) data for an optimized crystal structure of RbV3Co, as listed in Alexandria.

Calculated values
- Energy above the lowest structure with this stoichiometry: 1606 meV/atom
- Calculated total energy: -4.261 eV per atom
- Magnetic moment: 2.81 μB per formula unit
- Energy relative to the elements: 2825 meV per atom
- Theoretical density: 5.6 Mg/m³

Cell lengths 4.449, 4.449, 4.449 Å; angles 90.00, 90.00, 90.00 degrees
Space group Pm-3m (No. 221)
Asymmetric unit:
Rb1 0.000 0.000 0.000 (multiplicity 1)
V1 0.000 0.000 0.500 (multiplicity 3)
Co1 0.500 0.500 0.500 (multiplicity 1)



Record 4
First-principles (GGA-PBE) data for an optimized crystal structure of Rb2V4Co, as listed in Alexandria.

Calculated values
- Calculated total energy: -5.235 eV per atom
- Magnetic moment: 1.51 μB per formula unit
- Energy relative to the elements: 1267 meV per atom
- Theoretical density: 3.4 Mg/m³

Cell lengths 4.687, 4.687, 19.361 Å; angles 90.00, 90.00, 90.00 degrees
Space group I4/mmm (No. 139)
Asymmetric unit:
Rb1 0.000 0.000 0.170 (multiplicity 4)
V1 0.000 0.000 0.391 (multiplicity 4)
V2 0.000 0.500 0.000 (multiplicity 4)
Co1 0.000 0.000 0.500 (multiplicity 2)



Record 5
First-principles (GGA-PBE) data for an optimized crystal structure of Rb3VCo, as listed in Alexandria.

Calculated values
- Calculated total energy: -2.316 eV per atom
- Magnetic moment: 7.16 μB per formula unit
- Energy relative to the elements: 1509 meV per atom
- Theoretical density: 2.0 Mg/m³

Cell lengths 6.780, 6.780, 6.780 Å; angles 90.00, 90.00, 90.00 degrees
Space group Pm-3m (No. 221)
Asymmetric unit:
Rb1 0.000 0.000 0.500 (multiplicity 3)
V1 0.000 0.000 0.000 (multiplicity 1)
Co1 0.500 0.500 0.500 (multiplicity 1)



Record 6
First-principles (GGA-PBE) data for an optimized crystal structure of RbV2Co, as listed in Alexandria.

Calculated values
- Energy above the lowest structure with this stoichiometry: 0 meV/atom
- Calculated total energy: -5.182 eV per atom
- Magnetic moment: 5.58 μB per formula unit
- Energy relative to the elements: 1395 meV per atom
- Theoretical density: 3.4 Mg/m³

Cell lengths 5.973, 5.973, 13.551 Å; angles 90.00, 90.00, 90.00 degrees
Space group I4_1/amd (No. 141, origin choice 2)
Asymmetric unit:
Rb1 0.000 0.250 0.375 (multiplicity 4)
V1 0.000 0.000 0.000 (multiplicity 8)
Co1 0.000 0.250 0.875 (multiplicity 4)



Record 7
First-principles (GGA-PBE) data for an optimized crystal structure of Rb3CoW, as listed in Alexandria.

Calculated values
- Energy above the lowest structure with this stoichiometry: 0 meV/atom
- Calculated total energy: -2.668 eV per atom
- Magnetic moment: 7.06 μB per formula unit
- Energy relative to the elements: 1924 meV per atom
- Theoretical density: 3.1 Mg/m³

Cell lengths 6.428, 6.428, 6.428 Å; angles 90.00, 90.00, 90.00 degrees
Space group Pm-3m (No. 221)
Asymmetric unit:
Rb1 0.000 0.000 0.500 (multiplicity 3)
Co1 0.000 0.000 0.000 (multiplicity 1)
W1 0.500 0.500 0.500 (multiplicity 1)



Record 8
First-principles (GGA-PBE) data for an optimized crystal structure of RbCoW3, as listed in Alexandria.

Calculated values
- Energy above the lowest structure with this stoichiometry: 0 meV/atom
- Calculated total energy: -7.268 eV per atom
- Magnetic moment: 1.33 μB per formula unit
- Energy relative to the elements: 2119 meV per atom
- Theoretical density: 11.3 Mg/m³

Cell lengths 4.682, 4.682, 4.682 Å; angles 90.00, 90.00, 90.00 degrees
Space group Pm-3m (No. 221)
Asymmetric unit:
Rb1 0.000 0.000 0.000 (multiplicity 1)
Co1 0.500 0.500 0.500 (multiplicity 1)
W1 0.000 0.500 0.500 (multiplicity 3)



Please write out number 1 again, unchanged.
First-principles (GGA-PBE) data for an optimized crystal structure of RbVCo3, as listed in Alexandria.

Calculated values
- Energy above the lowest structure with this stoichiometry: 1447 meV/atom
- Calculated total energy: -3.575 eV per atom
- Magnetic moment: 5.51 μB per formula unit
- Energy relative to the elements: 2705 meV per atom
- Theoretical density: 5.8 Mg/m³

Cell lengths 4.482, 4.482, 4.482 Å; angles 90.00, 90.00, 90.00 degrees
Space group Pm-3m (No. 221)
Asymmetric unit:
Rb1 0.000 0.000 0.000 (multiplicity 1)
V1 0.500 0.500 0.500 (multiplicity 1)
Co1 0.000 0.000 0.500 (multiplicity 3)



Which value of energy relative to the elements does entry 1 give? 2705 meV per atom



Which of these has the lowest theoretical density? Rb3VCo